Record 1
5
Lattice="-4.443 1.565 0.679 -0.933 -3.816 2.687 -0.984 1.710 6.304" Properties=species:S:1:pos:R:3 comment="RbIn2Pd2 (PBE, optimized geometry)" e_tot_ev_per_atom=-3.61 formation_energy_ev_per_fu=-1.22 de_polymorph_kj_per_mol_fu=12 pbc="T T T"
Pd -4.094 -0.117 6.843
Pd -2.267 -0.424 2.826
In -4.058 1.074 4.333
In -2.303 -1.616 5.337
Rb 0.000 0.000 0.000

---

Record 2
3
Lattice="-3.453 0.171 -1.560 -0.926 -3.265 1.693 0.020 4.838 5.096" Properties=species:S:1:pos:R:3 comment="RbInPd (PBE, optimized geometry)" e_tot_ev_per_atom=-3.15 formation_energy_ev_per_fu=-0.54 de_polymorph_kj_per_mol_fu=0 pbc="T T T"
In -3.206 -0.005 2.485
Rb -0.008 0.012 0.018
Pd -1.145 1.737 2.725

---

Record 3
10
Lattice="-5.868 2.913 -3.193 -4.009 -1.656 5.857 1.407 5.638 2.558" Properties=species:S:1:pos:R:3 comment="Rb2In2Pd (PBE, optimized geometry)" e_tot_ev_per_atom=-2.58 formation_energy_ev_per_fu=-0.31 pbc="T T T"
Rb -6.580 3.457 3.880
Rb -5.359 4.674 0.526
Rb -1.890 3.438 1.341
Rb -3.111 2.222 4.695
In -5.442 -0.390 3.855
In -2.287 -0.133 1.553
In -7.590 1.391 1.111
In -4.435 1.648 -1.192
Pd -4.939 0.629 1.332
Pd 0.000 0.000 0.000

---

Record 4
12
Lattice="6.112 -0.002 2.415 -0.953 6.038 2.415 -0.395 -0.462 9.938" Properties=species:S:1:pos:R:3 comment="RbIn4Pd (PBE, optimized geometry)" e_tot_ev_per_atom=-3.04 formation_energy_ev_per_fu=-1.14 de_polymorph_kj_per_mol_fu=21 pbc="T T T"
In 0.245 3.862 5.387
In 2.826 -0.270 7.794
In 5.785 0.842 6.180
In 1.300 2.748 8.588
In 1.939 5.844 6.974
In 4.520 1.711 9.381
In -1.020 4.731 8.588
In 3.465 2.825 6.180
Pd 1.092 1.278 6.176
Pd 3.672 4.296 8.592
Rb -0.395 -0.462 9.937
Rb 2.580 3.018 2.415

---

Record 5
10
Lattice="7.075 0.000 0.000 0.000 7.075 0.000 0.000 0.000 5.770" Properties=species:S:1:pos:R:3 comment="Rb2InPd2 (PBE, optimized geometry)" e_tot_ev_per_atom=-3.07 formation_energy_ev_per_fu=-0.28 pbc="T T T"
Pd 2.575 6.113 0.000
Pd 0.963 2.575 0.000
Pd 6.113 4.500 0.000
Pd 4.500 0.963 0.000
In 3.538 3.538 0.000
In 0.000 0.000 0.000
Rb 1.247 4.784 2.885
Rb 2.291 1.247 2.885
Rb 4.784 5.829 2.885
Rb 5.829 2.291 2.885

---

Record 6
10
Lattice="-2.404 -7.503 3.355 -3.166 -2.380 -7.592 2.685 -1.194 -0.745" Properties=species:S:1:pos:R:3 comment="RbIn2Pd2 (PBE, optimized geometry)" e_tot_ev_per_atom=-3.64 formation_energy_ev_per_fu=-1.35 de_polymorph_kj_per_mol_fu=0 pbc="T T T"
Pd -2.118 -5.376 0.981
Pd -4.112 -7.851 -2.241
Pd -3.452 -4.507 -5.219
Pd -1.458 -2.032 -1.997
In 0.043 -3.690 -0.102
In -1.929 -8.020 -0.270
In -2.927 -7.387 -4.882
In -0.956 -3.057 -4.713
Rb 0.000 0.000 0.000
Rb -2.785 -4.942 -2.119